1.
The following is a DFT calculation (PBE-GGA) of Pu4Ge2O after structural relaxation.

Cell: 3.2324 8.1937 10.3593 Å, 90.00 90.00 90.00°
Positions (direct):
Pu (0.0000, 0.6613, 0.7885)
Pu (0.0000, 0.3387, 0.2115)
Pu (0.0000, 0.1613, 0.7115)
Pu (0.0000, 0.8387, 0.2885)
Pu (0.5000, 0.8220, 0.5959)
Pu (0.5000, 0.1780, 0.4041)
Pu (0.5000, 0.6780, 0.0959)
Pu (0.5000, 0.3220, 0.9041)
Ge (0.5000, 0.9421, 0.8853)
Ge (0.5000, 0.0579, 0.1147)
Ge (0.5000, 0.4421, 0.6147)
Ge (0.5000, 0.5579, 0.3853)
O (0.0000, 0.0000, 0.5000)
O (0.0000, 0.5000, 0.0000)

Output
E_form (uncorrected): -724 meV/atom
VASP energy: -10.942 eV/atom
Space group: Pbam
ΔE to the lowest computed polymorph: 176 meV/atom
ρ: 13.766 g/cm3

---

2.
The following is a DFT calculation (PBE-GGA) of Hf2Ru2Pt after structural relaxation.

Cell: 7.0688 7.0688 3.4904 Å, 90.00 90.00 90.00°
Positions (direct):
Ru (0.3705, 0.8705, 0.0000)
Ru (0.8705, 0.6295, 0.0000)
Ru (0.6295, 0.1295, 0.0000)
Ru (0.1295, 0.3705, 0.0000)
Hf (0.1767, 0.6767, 0.5000)
Hf (0.6767, 0.8233, 0.5000)
Hf (0.8233, 0.3233, 0.5000)
Hf (0.3233, 0.1767, 0.5000)
Pt (0.0000, 0.0000, 0.0000)
Pt (0.5000, 0.5000, 0.0000)

Output
VASP energy: -9.446 eV/atom
Space group: P4/mbm
DFT formation energy: -0.55 eV/atom
ρ: 14.362 g/cm3

---

3.
The following is a DFT calculation (PBE-GGA) of Hf2BeV after structural relaxation.

Cell: 3.2305 3.2305 6.4543 Å, 90.00 90.00 90.00°
Positions (direct):
Be (0.5000, 0.5000, 0.0000)
Hf (0.0000, 0.0000, 0.7581)
Hf (0.0000, 0.0000, 0.2419)
V (0.5000, 0.5000, 0.5000)

Output
VASP energy: -8.131 eV/atom
Space group: P4/mmm
DFT formation energy: 0.06 eV/atom
ρ: 10.278 g/cm3

---

4.
The following is a DFT calculation (PBE-GGA) of BaZnBiH after structural relaxation.

Cell: 4.6927 4.6924 5.3039 Å, 90.00 90.00 120.00°
Positions (direct):
Ba (0.9052, 0.8105, 0.8052)
Zn (0.2386, 0.4772, 0.2075)
Bi (0.5719, 0.1439, 0.3436)
H (0.2386, 0.4771, 0.8829)

Output
VASP energy: -3.167 eV/atom
Space group: P3m1
ρ: 6.776 g/cm3

---

5.
The following is a DFT calculation (PBE-GGA) of Tm3HgSb after structural relaxation.

Cell: 4.8442 8.7801 6.4465 Å, 93.33 90.00 106.01°
Positions (direct):
Tm (0.9922, 0.9845, 0.7439)
Tm (0.0078, 0.0155, 0.2561)
Tm (0.6088, 0.2176, 0.9952)
Tm (0.3912, 0.7824, 0.0048)
Tm (0.7967, 0.5934, 0.3625)
Tm (0.2033, 0.4066, 0.6375)
Hg (0.2056, 0.4112, 0.1195)
Hg (0.7944, 0.5888, 0.8805)
Sb (0.3990, 0.7979, 0.5044)
Sb (0.6010, 0.2021, 0.4956)

Output
E_form (uncorrected): -531 meV/atom
VASP energy: -4.099 eV/atom
Space group: C2/m
ρ: 10.468 g/cm3

---

6.
The following is a DFT calculation (PBE-GGA) of TiV2Ga after structural relaxation.

Cell: 6.9517 6.9517 5.5520 Å, 51.24 51.24 90.00°
Positions (direct):
V (0.6347, 0.1250, 0.2500)
V (0.1153, 0.6250, 0.2500)
V (0.3750, 0.3653, 0.7500)
V (0.8750, 0.8847, 0.7500)
Ga (0.0000, 0.0000, 0.0000)
Ga (0.7500, 0.2500, 0.5000)
Ti (0.5000, 0.5000, 0.0000)
Ti (0.2500, 0.7500, 0.5000)

Output
VASP energy: -6.923 eV/atom
Space group: I-42d
DFT formation energy: 0.37 eV/atom
ρ: 5.844 g/cm3

---

7.
The following is a DFT calculation (PBE-GGA) of BeFeCo2 after structural relaxation.

Cell: 2.4222 2.4222 7.4382 Å, 90.00 90.00 108.23°
Positions (direct):
Be (0.5000, 0.5000, 0.7500)
Co (0.0000, 0.0000, 0.9827)
Co (0.0000, 0.0000, 0.5173)
Fe (0.5000, 0.5000, 0.2500)

Output
VASP energy: -6.645 eV/atom
Space group: Cmmm
DFT formation energy: -0.04 eV/atom
ρ: 7.320 g/cm3

---

8.
The following is a DFT calculation (PBE-GGA) of BeIn2Cl after structural relaxation.

Cell: 3.3519 3.3516 7.5843 Å, 90.00 90.00 90.00°
Positions (direct):
Be (0.5000, 0.5000, 0.2500)
Cl (0.5000, 0.5000, 0.7500)
In (0.0000, 0.0000, 0.0409)
In (0.0000, 0.0000, 0.4591)

Output
E_form (uncorrected): 124 meV/atom
VASP energy: -2.638 eV/atom
Space group: P4/mmm
ΔE to the lowest computed polymorph: 248 meV/atom
ρ: 5.342 g/cm3

---

9.
The following is a DFT calculation (PBE-GGA) of Pr2RhS after structural relaxation.

Cell: 4.1575 4.0225 11.8585 Å, 99.76 90.00 90.00°
Positions (direct):
Pr (0.7500, 0.6839, 0.3679)
Pr (0.2500, 0.3161, 0.6321)
Pr (0.7500, 0.9339, 0.8678)
Pr (0.2500, 0.0661, 0.1322)
Rh (0.2500, 0.4574, 0.9149)
Rh (0.7500, 0.5426, 0.0851)
S (0.2500, 0.1907, 0.3814)
S (0.7500, 0.8093, 0.6186)

Output
E_form (uncorrected): -1312 meV/atom
VASP energy: -6.572 eV/atom
Space group: Cmcm
ΔE to the lowest computed polymorph: 0 meV/atom
ρ: 7.082 g/cm3

---

10.
The following is a DFT calculation (PBE-GGA) of Eu2TlIn after structural relaxation.

Cell: 3.9648 3.9648 7.9520 Å, 90.00 90.00 90.00°
Positions (direct):
Eu (0.0000, 0.0000, 0.7521)
Eu (0.0000, 0.0000, 0.2479)
Tl (0.5000, 0.5000, 0.5000)
In (0.5000, 0.5000, 0.0000)

Output
VASP energy: -6.862 eV/atom
Space group: P4/mmm
DFT formation energy: -0.45 eV/atom
ρ: 8.277 g/cm3

---

11.
The following is a DFT calculation (PBE-GGA) of Th2PdPt9 after structural relaxation.

Cell: 4.1796 4.1796 12.2954 Å, 90.00 90.00 90.00°
Positions (direct):
Th (0.0000, 0.0000, 0.3232)
Th (0.0000, 0.0000, 0.6768)
Pd (0.0000, 0.0000, 0.0000)
Pt (0.5000, 0.5000, 0.0000)
Pt (0.5000, 0.5000, 0.3286)
Pt (0.5000, 0.5000, 0.6714)
Pt (0.5000, 0.0000, 0.1557)
Pt (0.5000, 0.0000, 0.5000)
Pt (0.5000, 0.0000, 0.8443)
Pt (0.0000, 0.5000, 0.1557)
Pt (0.0000, 0.5000, 0.5000)
Pt (0.0000, 0.5000, 0.8443)

Output
VASP energy: -6.922 eV/atom
Space group: P4/mmm
ΔE to the lowest computed polymorph: 0 meV/atom
DFT formation energy: -0.72 eV/atom
ρ: 17.984 g/cm3

---

12.
The following is a DFT calculation (PBE-GGA) of ScBe2Ge2 after structural relaxation.

Cell: 3.7773 3.7773 5.8209 Å, 71.07 71.07 90.00°
Positions (direct):
Sc (0.0000, 0.0000, 0.0000)
Be (0.7500, 0.2500, 0.5000)
Be (0.2500, 0.7500, 0.5000)
Ge (0.3787, 0.3787, 0.2425)
Ge (0.6213, 0.6213, 0.7575)

Output
VASP energy: -4.803 eV/atom
Space group: I4/mmm
DFT formation energy: -0.20 eV/atom
ρ: 4.686 g/cm3

---

13.
The following is a DFT calculation (PBE-GGA) of Mg5GaSn after structural relaxation.

Cell: 4.7592 4.7592 13.9632 Å, 89.99 89.99 90.00°
Positions (direct):
Mg (0.5003, 0.0001, 0.1078)
Mg (0.4999, 0.9993, 0.3922)
Mg (0.0001, 0.5003, 0.6078)
Mg (0.0001, 0.9999, 0.2500)
Mg (0.0007, 0.5001, 0.1078)
Mg (0.9993, 0.4999, 0.8922)
Mg (0.9999, 0.0001, 0.7500)
Mg (0.9999, 0.4997, 0.3922)
Mg (0.5001, 0.0007, 0.6078)
Mg (0.4997, 0.9999, 0.8922)
Ga (0.0000, 0.0000, 0.0000)
Ga (0.0000, 0.0000, 0.5000)
Sn (0.5003, 0.4997, 0.2500)
Sn (0.4997, 0.5003, 0.7500)

Output
VASP energy: -2.259 eV/atom
Space group: P4/mmm
DFT formation energy: -0.12 eV/atom
ρ: 3.255 g/cm3

---

14.
The following is a DFT calculation (PBE-GGA) of CaAlNiI2 after structural relaxation.

Cell: 5.5525 6.0914 5.5525 Å, 90.00 90.00 90.00°
Positions (direct):
I (0.0000, 0.0000, 0.5000)
I (0.5000, 0.0000, 0.0000)
Ni (0.5000, 0.5000, 0.5000)
Ca (0.0000, 0.5000, 0.0000)
Al (0.0000, 0.0000, 0.0000)

Output
E_form (uncorrected): 561 meV/atom
VASP energy: -2.364 eV/atom
Space group: P4/mmm
ρ: 3.356 g/cm3

---

15.
The following is a DFT calculation (PBE-GGA) of Pm8Ru3Rh2 after structural relaxation.

Cell: 4.9191 9.8366 8.5419 Å, 125.08 90.00 90.00°
Positions (direct):
Pm (0.0000, 0.6206, 0.2423)
Pm (0.0000, 0.3794, 0.7577)
Pm (0.0000, 0.1236, 0.2480)
Pm (0.0000, 0.8764, 0.7520)
Pm (0.5000, 0.6285, 0.7559)
Pm (0.5000, 0.1285, 0.7562)
Pm (0.5000, 0.8715, 0.2438)
Pm (0.5000, 0.3715, 0.2441)
Ru (0.5000, 0.0000, 0.0000)
Ru (0.0000, 0.2483, 0.0000)
Ru (0.0000, 0.7517, 0.0000)
Rh (0.5000, 0.2499, 0.4999)
Rh (0.5000, 0.7501, 0.5001)

Output
VASP energy: -6.537 eV/atom
Space group: P2/m
DFT formation energy: -0.34 eV/atom
ρ: 8.194 g/cm3

---

16.
The following is a DFT calculation (PBE-GGA) of TiHgBi2 after structural relaxation.

Cell: 4.3029 4.3029 7.6642 Å, 73.70 73.70 60.00°
Positions (direct):
Ti (0.6643, 0.6643, 0.0071)
Hg (0.5005, 0.5005, 0.4984)
Bi (0.0695, 0.0695, 0.7916)
Bi (0.2657, 0.2657, 0.2030)

Output
VASP energy: -3.818 eV/atom
Space group: R3m
DFT formation energy: 0.17 eV/atom
ρ: 9.519 g/cm3

---

17.
The following is a DFT calculation (PBE-GGA) of Sm2BiPd after structural relaxation.

Cell: 3.7032 3.7032 7.7902 Å, 90.00 90.00 90.00°
Positions (direct):
Pd (0.5000, 0.5000, 0.0000)
Bi (0.5000, 0.5000, 0.5000)
Sm (0.0000, 0.0000, 0.7803)
Sm (0.0000, 0.0000, 0.2197)

Output
VASP energy: -5.317 eV/atom
Space group: P4/mmm
ΔE to the lowest computed polymorph: 106 meV/atom
DFT formation energy: -0.69 eV/atom
ρ: 9.576 g/cm3

---

18.
The following is a DFT calculation (PBE-GGA) of BaSi2Os after structural relaxation.

Cell: 5.4196 5.4196 5.4196 Å, 135.13 107.62 89.35°
Positions (direct):
Ba (0.7500, 0.2500, 0.5000)
Os (0.2500, 0.7500, 0.5000)
Si (0.0960, 0.0960, 0.0000)
Si (0.4040, 0.4040, 0.0000)

Output
E_form (uncorrected): 135 meV/atom
VASP energy: -5.865 eV/atom
Space group: Immm
ρ: 6.245 g/cm3

---

19.
The following is a DFT calculation (PBE-GGA) of Pa2Ni9Sn after structural relaxation.

Cell: 4.8738 4.8738 8.6942 Å, 73.72 73.72 60.00°
Positions (direct):
Pa (0.8644, 0.8644, 0.4067)
Pa (0.1356, 0.1356, 0.5933)
Ni (0.6671, 0.6671, 0.9986)
Ni (0.3329, 0.3329, 0.0014)
Ni (0.5000, 0.5000, 0.5000)
Ni (0.4152, 0.4152, 0.2521)
Ni (0.9175, 0.4152, 0.2521)
Ni (0.4152, 0.9175, 0.2521)
Ni (0.5848, 0.5848, 0.7479)
Ni (0.5848, 0.0825, 0.7479)
Ni (0.0825, 0.5848, 0.7479)
Sn (0.0000, 0.0000, 0.0000)

Output
VASP energy: -6.534 eV/atom
Space group: R-3m
ΔE to the lowest computed polymorph: 14 meV/atom
DFT formation energy: -0.28 eV/atom
ρ: 10.882 g/cm3

---

20.
The following is a DFT calculation (PBE-GGA) of Ag2Pd6Rh after structural relaxation.

Cell: 4.6663 7.7123 8.1932 Å, 90.00 90.02 90.00°
Positions (direct):
Ag (0.0001, 0.3295, 0.6642)
Ag (0.4999, 0.8295, 0.8358)
Ag (0.5001, 0.1705, 0.1642)
Ag (0.9999, 0.6705, 0.3358)
Pd (0.9999, 0.9876, 0.1688)
Pd (0.9998, 0.6995, 0.6680)
Pd (0.9999, 0.6784, 0.9960)
Pd (0.5001, 0.1784, 0.5040)
Pd (0.5002, 0.1995, 0.8320)
Pd (0.5001, 0.4876, 0.3312)
Pd (0.0001, 0.0124, 0.8312)
Pd (0.0002, 0.3005, 0.3320)
Pd (0.0001, 0.3216, 0.0040)
Pd (0.4999, 0.8216, 0.4960)
Pd (0.4998, 0.8005, 0.1679)
Pd (0.4999, 0.5124, 0.6688)
Rh (0.5000, 0.5000, 0.0000)
Rh (0.0000, 0.0000, 0.5000)

Output
VASP energy: -4.731 eV/atom
Space group: Pnnm
DFT formation energy: 0.18 eV/atom
ρ: 10.781 g/cm3